[1]
The following is a DFT calculation (GGA-PBE) of YTlSeBr2 after structural relaxation.

## Properties
excess energy over the best structure of this formula in the dataset: 0.0 meV/atom
E: -0.1637 Ha/atom
M_tot: 0.0 μB per formula unit
raw formation energy: -1322 meV/atom

```
data_YTlSeBr2
_chemical_formula_sum 'Y1 Tl1 Se1 Br2'
_symmetry_space_group_name_H-M 'P 4/m m m'
_symmetry_Int_Tables_number 123
_symmetry_space_group_name_Hall '-P 4 2'
_cell_length_a 5.640
_cell_length_b 5.640
_cell_length_c 5.502
_cell_angle_alpha 90.00
_cell_angle_beta 90.00
_cell_angle_gamma 90.00
loop_
_atom_site_label
_atom_site_type_symbol
_atom_site_fract_x
_atom_site_fract_y
_atom_site_fract_z
Y1 Y 0.000 0.000 0.000
Tl1 Tl 0.500 0.500 0.500
Se1 Se 0.000 0.000 0.500
Br1 Br 0.000 0.500 0.000
```



[2]
The following is a DFT calculation (GGA-PBE) of TlZnSe2Br after structural relaxation.

## Properties
excess energy over the best structure of this formula in the dataset: 0.0 meV/atom
E: -0.0957 Ha/atom
M_tot: 0.0 μB per formula unit
raw formation energy: -148 meV/atom

```
data_TlZnSe2Br
_chemical_formula_sum 'Tl1 Zn1 Se2 Br1'
_symmetry_space_group_name_H-M 'P 4/m m m'
_symmetry_Int_Tables_number 123
_symmetry_space_group_name_Hall '-P 4 2'
_cell_length_a 4.928
_cell_length_b 4.928
_cell_length_c 5.731
_cell_angle_alpha 90.00
_cell_angle_beta 90.00
_cell_angle_gamma 90.00
loop_
_atom_site_label
_atom_site_type_symbol
_atom_site_fract_x
_atom_site_fract_y
_atom_site_fract_z
Tl1 Tl 0.000 0.000 0.000
Zn1 Zn 0.500 0.500 0.500
Se1 Se 0.000 0.500 0.500
Br1 Br 0.500 0.500 0.000
```



[3]
The following is a DFT calculation (GGA-PBE) of TlZnSe2Br after structural relaxation.

## Properties
excess energy over the best structure of this formula in the dataset: 600.5 meV/atom
E: -0.0736 Ha/atom
M_tot: 0.3 μB per formula unit
raw formation energy: 452 meV/atom

```
data_TlZnSe2Br
_chemical_formula_sum 'Tl1 Zn1 Se2 Br1'
_symmetry_space_group_name_H-M 'P 4/m m m'
_symmetry_Int_Tables_number 123
_symmetry_space_group_name_Hall '-P 4 2'
_cell_length_a 5.443
_cell_length_b 5.443
_cell_length_c 5.601
_cell_angle_alpha 90.00
_cell_angle_beta 90.00
_cell_angle_gamma 90.00
loop_
_atom_site_label
_atom_site_type_symbol
_atom_site_fract_x
_atom_site_fract_y
_atom_site_fract_z
Tl1 Tl 0.000 0.000 0.000
Zn1 Zn 0.500 0.500 0.500
Se1 Se 0.000 0.500 0.000
Br1 Br 0.000 0.000 0.500
```